(1)
An optimized crystal structure of Nd6SiNi2Br3, computed with GGA-PBE.

Results
space group: No. 12
formation energy without anion corrections: -861.9 meV/atom

```
Nd6SiNi2Br3
1.0
4.084 0.000 0.000
0.000 9.065 0.003
-2.042 -2.941 9.134
Br Nd Ni Si
3 6 2 1
direct
0.500 0.500 0.000 Br
0.839 0.163 0.678 Br
0.161 0.837 0.322 Br
0.322 0.448 0.644 Nd
0.014 0.234 0.027 Nd
0.340 0.881 0.680 Nd
0.678 0.552 0.356 Nd
0.986 0.766 0.973 Nd
0.660 0.119 0.320 Nd
0.169 0.337 0.337 Ni
0.831 0.663 0.663 Ni
0.500 0.000 0.000 Si
```

(2)
An optimized crystal structure of Nd11Cd9Rh4, computed with GGA-PBE.

Results
formation enthalpy at 0 K: -11.76 eV/f.u.
space group: No. 65

```
Nd11Cd9Rh4
1.0
-2.292 2.020 -2.298
5.560 -5.817 -10.658
-10.569 -6.716 4.640
Cd Rh Nd
9 4 11
direct
0.500 0.634 0.158 Cd
0.500 0.073 0.215 Cd
0.500 0.842 0.366 Cd
0.500 0.215 0.073 Cd
0.500 0.500 0.500 Cd
0.500 0.366 0.842 Cd
0.500 0.785 0.927 Cd
0.500 0.158 0.634 Cd
0.500 0.927 0.785 Cd
0.500 0.549 0.750 Rh
0.500 0.250 0.451 Rh
0.500 0.451 0.250 Rh
0.500 0.750 0.549 Rh
0.000 0.693 0.693 Nd
0.000 0.000 0.000 Nd
0.000 0.373 0.627 Nd
0.000 0.839 0.161 Nd
0.000 0.584 0.921 Nd
0.000 0.416 0.079 Nd
0.000 0.079 0.416 Nd
0.000 0.627 0.373 Nd
0.000 0.161 0.839 Nd
0.000 0.307 0.307 Nd
0.000 0.921 0.584 Nd
```

(3)
An optimized crystal structure of La4PmHg2, computed with GGA-PBE.

Results
formation enthalpy at 0 K: -0.35 eV/f.u.
space group: No. 166

```
La4PmHg2
1.0
5.661 0.000 0.000
2.831 4.903 0.000
2.831 1.634 9.029
La Hg Pm
4 2 1
direct
0.270 0.270 0.189 La
0.130 0.130 0.610 La
0.730 0.730 0.811 La
0.870 0.870 0.390 La
0.388 0.388 0.837 Hg
0.612 0.612 0.163 Hg
0.500 0.500 0.500 Pm
```

(4)
An optimized crystal structure of VCoSn, computed with GGA-PBE.

Results
formation enthalpy at 0 K: 0.14 eV/f.u.
space group: No. 12

```
VCoSn
1.0
-0.086 1.439 3.781
2.905 -3.804 -0.652
2.477 5.232 -1.934
Sn Co V
2 2 2
direct
0.145 0.290 0.781 Sn
0.855 0.710 0.219 Sn
0.847 0.695 0.773 Co
0.153 0.305 0.227 Co
0.387 0.773 0.589 V
0.613 0.227 0.411 V
```

Repeat the second record exactly.
An optimized crystal structure of Nd11Cd9Rh4, computed with GGA-PBE.

Results
formation enthalpy at 0 K: -11.76 eV/f.u.
space group: No. 65

```
Nd11Cd9Rh4
1.0
-2.292 2.020 -2.298
5.560 -5.817 -10.658
-10.569 -6.716 4.640
Cd Rh Nd
9 4 11
direct
0.500 0.634 0.158 Cd
0.500 0.073 0.215 Cd
0.500 0.842 0.366 Cd
0.500 0.215 0.073 Cd
0.500 0.500 0.500 Cd
0.500 0.366 0.842 Cd
0.500 0.785 0.927 Cd
0.500 0.158 0.634 Cd
0.500 0.927 0.785 Cd
0.500 0.549 0.750 Rh
0.500 0.250 0.451 Rh
0.500 0.451 0.250 Rh
0.500 0.750 0.549 Rh
0.000 0.693 0.693 Nd
0.000 0.000 0.000 Nd
0.000 0.373 0.627 Nd
0.000 0.839 0.161 Nd
0.000 0.584 0.921 Nd
0.000 0.416 0.079 Nd
0.000 0.079 0.416 Nd
0.000 0.627 0.373 Nd
0.000 0.161 0.839 Nd
0.000 0.307 0.307 Nd
0.000 0.921 0.584 Nd
```

Copy entry 3 word for word.
An optimized crystal structure of La4PmHg2, computed with GGA-PBE.

Results
formation enthalpy at 0 K: -0.35 eV/f.u.
space group: No. 166

```
La4PmHg2
1.0
5.661 0.000 0.000
2.831 4.903 0.000
2.831 1.634 9.029
La Hg Pm
4 2 1
direct
0.270 0.270 0.189 La
0.130 0.130 0.610 La
0.730 0.730 0.811 La
0.870 0.870 0.390 La
0.388 0.388 0.837 Hg
0.612 0.612 0.163 Hg
0.500 0.500 0.500 Pm
```